# PBE+U PaZnMo2O8, relaxed
# Size of the total moment   3.000 μB per formula unit
# Calculated density   7355 kg/m3
# Calculated total energy   -178.660 eV per cell
data_PaZnMo2O8
_cell_length_a 5.1472
_cell_length_b 5.1472
_cell_length_c 10.5040
_cell_angle_alpha 90.00
_cell_angle_beta 90.00
_cell_angle_gamma 90.00
_symmetry_space_group_name_H-M 'I -4'
_symmetry_Int_Tables_number 82
_symmetry_space_group_name_Hall 'I -4'
loop_
_atom_site_label
_atom_site_type_symbol
_atom_site_fract_x
_atom_site_fract_y
_atom_site_fract_z
Pa1 Pa 0.0000 0.0000 0.0000
Zn1 Zn 0.0000 0.5000 0.7500
Mo1 Mo 0.0000 0.0000 0.5000
Mo2 Mo 0.0000 0.5000 0.2500
O1 O 0.2207 0.2539 0.6011
O2 O 0.2224 0.7333 0.1530